(1)
# TbMnSb2

A relaxed structure of TbMnSb2 (PBE-GGA, Alexandria).

Cell lengths 3.5143, 3.5143, 10.0386 Å; angles 79.92, 79.92, 60.00 degrees
With the nearest neighbours (Å) after each atom.
Atoms (fractional coordinates):
Sb 0.1060 0.1060 0.6821  3 Mn 2.71
Sb 0.8940 0.8940 0.3179  3 Mn 2.71
Mn 0.5000 0.5000 0.5000  6 Sb 2.71
Tb 0.0000 0.0000 0.0000  2 Sb 3.12

Values from the calculation:
As for the space group: No. 166. The calculation puts the formation energy (no corrections) at 0.23 eV per formula unit. The calculated volume is 105.2 Å³/cell. Its total energy is -21.81 eV per cell.

***

(2)
# TbMnSb3

A relaxed structure of TbMnSb3 (PBE-GGA, Alexandria).

Cell lengths 6.0305, 6.2288, 12.7539 Å; angles 90.00, 90.00, 90.00 degrees
With the nearest neighbours (Å) after each atom.
Atoms (fractional coordinates):
Tb 0.7500 0.4960 0.6891  9 Sb 3.20-3.31, 2 Mn 3.51
Tb 0.2500 0.5040 0.3109  9 Sb 3.20-3.31, 2 Mn 3.51
Tb 0.7500 0.9960 0.3109  9 Sb 3.20-3.31, 2 Mn 3.51
Tb 0.2500 0.0040 0.6891  9 Sb 3.20-3.31, 2 Mn 3.51
Mn 0.5000 0.2500 0.0955  6 Sb 2.70-2.75, 2 Mn 3.02
Mn 0.0000 0.7500 0.9045  6 Sb 2.70-2.75, 2 Mn 3.02
Mn 0.5000 0.7500 0.9045  6 Sb 2.70-2.75, 2 Mn 3.02
Mn 0.0000 0.2500 0.0955  6 Sb 2.70-2.75, 2 Mn 3.02
Sb 0.0000 0.2500 0.4978  4 Sb 3.02-3.11, 4 Tb 3.23-3.25
Sb 0.5000 0.7500 0.5022  4 Sb 3.02-3.11, 4 Tb 3.23-3.25
Sb 0.0000 0.7500 0.5022  4 Sb 3.02-3.11, 4 Tb 3.23-3.25
Sb 0.5000 0.2500 0.4978  4 Sb 3.02-3.11, 4 Tb 3.23-3.25
Sb 0.2500 0.1037 0.9354  4 Mn 2.70
Sb 0.7500 0.8963 0.0646  4 Mn 2.70
Sb 0.2500 0.6037 0.0646  4 Mn 2.70
Sb 0.7500 0.3963 0.9354  4 Mn 2.70
Sb 0.2500 0.5007 0.7720  2 Mn 2.75
Sb 0.7500 0.4993 0.2280  2 Mn 2.75
Sb 0.2500 0.0007 0.2280  2 Mn 2.75
Sb 0.7500 0.9993 0.7720  2 Mn 2.75

Values from the calculation:
As for the space group: No. 57. The calculation puts the formation energy (no corrections) at -2.39 eV per formula unit. The calculated volume is 479.1 Å³/cell. Its total energy is -114.24 eV per cell.

***

(3)
# MnTc3Sb

A relaxed structure of MnTc3Sb (PBE-GGA, Alexandria).

Cell lengths 4.4568, 4.4568, 4.4568 Å; angles 90.00, 90.00, 90.00 degrees
With the nearest neighbours (Å) after each atom.
Atoms (fractional coordinates):
Sb 0.5000 0.5000 0.5000  12 Tc 3.15
Mn 0.0000 0.0000 0.0000  6 Tc 2.23
Tc 0.0000 0.5000 0.0000  2 Mn 2.23
Tc 0.0000 0.0000 0.5000  2 Mn 2.23
Tc 0.5000 0.0000 0.0000  2 Mn 2.23

Values from the calculation:
Its energy above the most stable polymorph in this dataset is 0.0000 eV per atom. As for the space group: No. 221. The calculation puts the formation energy (no corrections) at 5.25 eV per formula unit. The calculated volume is 88.5 Å³/cell. Its total energy is -39.14 eV per cell.

***

(4)
# MnTc2Sb

A relaxed structure of MnTc2Sb (PBE-GGA, Alexandria).

Cell lengths 5.1554, 5.1554, 5.1554 Å; angles 143.47, 130.03, 63.47 degrees
With the nearest neighbours (Å) after each atom.
Atoms (fractional coordinates):
Mn 0.5001 0.5001 0.0000  6 Tc 2.67-2.71, 2 Sb 2.69
Sb 0.2555 0.7555 0.5000  2 Mn 2.69, 6 Tc 2.71-2.75
Tc 0.0020 0.0020 0.0000  4 Mn 2.71, 2 Sb 2.75, 4 Tc 2.79-3.03
Tc 0.7424 0.2424 0.5000  2 Mn 2.67, 4 Sb 2.71, 2 Tc 2.79

Values from the calculation:
As for the space group: No. 44. The calculation puts the formation energy (no corrections) at 0.64 eV per formula unit. The calculated volume is 61.7 Å³/cell. Its total energy is -33.38 eV per cell.